Entry 1:
Entry from Alexandria: crystalline Pa2BeOs3 at its relaxed geometry (PBE).

Calculated values
* distance to the lowest polymorph of the same formula: 0 meV per atom
* symmetry: R-3m, No. 166
* E_form: -2.12 eV/f.u.
* crystal system: trigonal
* total DFT energy (no corrections): -9.755 eV/atom

```
Pa2BeOs3
1.0
2.781 1.606 3.804
-2.781 1.606 3.804
0.000 -3.211 3.804
Pa Be Os
2 1 3
direct
0.127 0.127 0.127 Pa
0.873 0.873 0.873 Pa
0.500 0.500 0.500 Be
0.000 0.500 0.500 Os
0.500 0.000 0.500 Os
0.500 0.500 0.000 Os
```

=====

Entry 2:
Entry from Alexandria: crystalline PaBeOs at its relaxed geometry (PBE).

Calculated values
* distance to the lowest polymorph of the same formula: 0 meV per atom
* symmetry: Imma, No. 74
* E_form: -0.95 eV/f.u.
* crystal system: orthorhombic
* total DFT energy (no corrections): -8.469 eV/atom

```
PaBeOs
1.0
4.573 0.000 0.000
0.000 5.667 0.000
0.000 0.000 7.451
Pa Be Os
4 4 4
direct
0.000 0.250 0.131 Pa
0.000 0.750 0.869 Pa
0.500 0.250 0.369 Pa
0.500 0.750 0.631 Pa
0.250 0.250 0.750 Be
0.250 0.750 0.250 Be
0.750 0.250 0.750 Be
0.750 0.750 0.250 Be
0.000 0.000 0.500 Os
0.000 0.500 0.500 Os
0.500 0.000 0.000 Os
0.500 0.500 0.000 Os
```

=====

Entry 3:
Entry from Alexandria: crystalline Pa2Be3Si4Os at its relaxed geometry (PBE).

Calculated values
* symmetry: P-4m2, No. 115
* formation energy without anion corrections: -405 meV/atom
* crystal system: tetragonal
* total DFT energy (no corrections): -6.714 eV/atom

```
Pa2Be3Si4Os
1.0
3.995 0.000 0.000
0.000 3.995 0.000
0.000 0.000 9.400
Pa Be Si Os
2 3 4 1
direct
0.000 0.500 0.248 Pa
0.500 0.000 0.752 Pa
0.000 0.500 0.877 Be
0.500 0.000 0.123 Be
0.500 0.500 0.500 Be
0.000 0.000 0.000 Si
0.000 0.500 0.640 Si
0.500 0.000 0.360 Si
0.500 0.500 0.000 Si
0.000 0.000 0.500 Os
```